1.
Li2ErPd2: optimized geometry, PBE-GGA.

extended XYZ file:
```
5
Lattice="4.708 0.000 0.000 -2.354 4.078 0.000 0.000 0.000 5.238" Properties=species:S:1:pos:R:3 pbc="T T T"
Li 0.000 2.718 0.681
Li 2.354 1.359 4.557
Er 0.000 0.000 2.619
Pd 0.000 2.718 3.319
Pd 2.354 1.359 1.919
```

Results
* V: 100.6 Å³ per cell
* N(E_F): 2.80 states/eV/f.u.
* SG: P-3m1
* VASP energy: -21.12 eV/cell

=====

2.
Tb2PuTc2: optimized geometry, PBE-GGA.

extended XYZ file:
```
10
Lattice="4.945 -2.936 0.000 4.945 2.936 0.000 -1.409 0.000 7.800" Properties=species:S:1:pos:R:3 pbc="T T T"
Tb 1.296 0.757 1.191
Tb 0.591 -0.757 5.091
Tb 7.890 0.757 2.709
Tb 7.186 -0.757 6.608
Pu 4.593 0.809 1.950
Pu 3.889 -0.809 5.850
Tc 3.018 0.763 3.815
Tc 6.168 0.763 0.085
Tc 2.313 -0.763 7.714
Tc 5.464 -0.763 3.985
```

Results
* V: 226.5 Å³ per cell
* N(E_F): 6.84 states/eV/f.u.
* SG: C2/c
* VASP energy: -89.83 eV/cell

=====

3.
Dy2Ni4As3Au: optimized geometry, PBE-GGA.

extended XYZ file:
```
10
Lattice="4.058 0.000 0.000 0.000 4.058 0.000 0.000 0.000 10.019" Properties=species:S:1:pos:R:3 pbc="T T T"
Dy 0.000 2.029 2.430
Dy 2.029 0.000 7.590
Ni 0.000 0.000 0.000
Ni 0.000 2.029 6.470
Ni 2.029 0.000 3.550
Ni 2.029 2.029 0.000
As 0.000 2.029 8.732
As 2.029 0.000 1.287
As 2.029 2.029 5.010
Au 0.000 0.000 5.010
```

Results
* V: 165.0 Å³ per cell
* N(E_F): 7.29 states/eV/f.u.
* SG: P-4m2
* VASP energy: -56.49 eV/cell

=====

4.
KLi2La: optimized geometry, PBE-GGA.

extended XYZ file:
```
8
Lattice="4.199 0.000 0.000 0.000 5.785 0.000 0.000 0.000 11.722" Properties=species:S:1:pos:R:3 pbc="T T T"
K 0.000 0.000 0.000
K 2.100 2.893 0.000
Li 0.000 2.893 3.172
Li 0.000 2.893 8.550
Li 2.100 0.000 3.172
Li 2.100 0.000 8.550
La 0.000 0.000 5.861
La 2.100 2.893 5.861
```

Results
* V: 284.8 Å³ per cell
* N(E_F): 3.75 states/eV/f.u.
* SG: Cmmm
* VASP energy: -18.02 eV/cell

=====

> Number 4 is which compound?

KLi2La

=====

> Which value of N(E_F) does entry 2 give?

6.84 states/eV/f.u.

=====

> Among the records above, which one has the highest V?

KLi2La